Entry 1:
This record from Alexandria describes TeMo2Ru after structural relaxation. The functional is PBE.

Cell lengths 3.1981, 3.1981, 6.6616 Å; angles 90.00, 90.00, 90.00 degrees
Fractional positions:
1 Mo 0.0000 0.0000 0.0147
2 Mo 0.5000 0.5000 0.2550
3 Te 0.5000 0.5000 0.7586
4 Ru 0.0000 0.0000 0.4718

Total magnetic moment = 0.00 μB per formula unit
SG = P4mm (99)
Volume = 17.03 A^3/atom
ΔE_f (raw) = 1.1 eV per formula unit

---

Entry 2:
This record from Alexandria describes Ho2HgPt after structural relaxation. The functional is PBE.

Cell lengths 3.5623, 3.5623, 7.3211 Å; angles 90.00, 90.00, 90.00 degrees
Fractional positions:
1 Ho 0.0000 0.0000 0.2256
2 Ho 0.0000 0.0000 0.7744
3 Hg 0.5000 0.5000 0.5000
4 Pt 0.5000 0.5000 0.0000

Total magnetic moment = 0.00 μB per formula unit
ΔE to the lowest computed polymorph = 0.00 eV/f.u.
SG = P4/mmm (123)
Volume = 23.23 A^3/atom

---

Entry 3:
This record from Alexandria describes NaRhSCl2 after structural relaxation. The functional is PBE.

Cell lengths 5.1066, 5.1066, 4.4146 Å; angles 90.00, 90.00, 90.00 degrees
Fractional positions:
1 Rh 0.0000 0.0000 0.0000
2 Cl 0.0000 0.5000 0.0000
3 Cl 0.5000 0.0000 0.0000
4 Na 0.5000 0.5000 0.5000
5 S 0.0000 0.0000 0.5000

Total magnetic moment = 0.01 μB per formula unit
ΔE to the lowest computed polymorph = 0.00 eV/f.u.
SG = P4/mmm (123)
Volume = 23.02 A^3/atom
ΔE_f (raw) = -3.0 eV per formula unit

---

Entry 4:
This record from Alexandria describes Al3ReGe after structural relaxation. The functional is PBE.

Cell lengths 4.6658, 4.6658, 4.6658 Å; angles 90.00, 90.00, 90.00 degrees
Last column: magnetic moment on the atom in μB.
Fractional positions:
1 Re 0.5000 0.5000 0.5000  2.19
2 Al 0.0000 0.5000 0.0000  -0.01
3 Al 0.0000 0.0000 0.5000  -0.01
4 Al 0.5000 0.0000 0.0000  -0.04
5 Ge 0.0000 0.0000 0.0000  0.04

Total magnetic moment = 2.39 μB per formula unit
ΔE to the lowest computed polymorph = 4.44 eV/f.u.
SG = Pm-3m (221)
Volume = 20.31 A^3/atom

---

Entry 5:
This record from Alexandria describes ZnHg2Rh after structural relaxation. The functional is PBE.

Cell lengths 5.5102, 5.5102, 4.7573 Å; angles 72.45, 72.45, 32.47 degrees
Fractional positions:
1 Rh 0.4755 0.4755 0.4723
2 Zn 0.7859 0.7859 0.7630
3 Hg 0.2236 0.2236 0.3118
4 Hg 0.0150 0.0150 0.9529

Total magnetic moment = 0.00 μB per formula unit
Electronic total energy = -2.258 eV per atom
SG = Cm (8)
Volume = 18.41 A^3/atom

---

Entry 6:
This record from Alexandria describes Sm4Dy4Ho after structural relaxation. The functional is PBE.

Cell lengths 5.5757, 8.8292, 8.9741 Å; angles 45.13, 71.91, 71.60 degrees
Fractional positions:
1 Dy 0.6296 0.4282 0.3126
2 Dy 0.0737 0.2328 0.6199
3 Dy 0.3704 0.5718 0.6874
4 Dy 0.9263 0.7672 0.3801
5 Sm 0.7183 0.8513 0.7121
6 Sm 0.8673 0.3033 0.9621
7 Sm 0.1327 0.6967 0.0379
8 Sm 0.2817 0.1487 0.2879
9 Ho 0.5000 0.0000 0.0000

Total magnetic moment = 0.00 μB per formula unit
ΔE to the lowest computed polymorph = 0.80 eV/f.u.
SG = C2/m (12)
Volume = 32.73 A^3/atom

---

Entry 7:
This record from Alexandria describes InGaAgAu3 after structural relaxation. The functional is PBE.

Cell lengths 3.9496, 7.1024, 8.7129 Å; angles 112.76, 90.00, 90.00 degrees
Fractional positions:
1 Ag 0.2500 0.1136 0.6199
2 Ag 0.7500 0.8864 0.3801
3 In 0.2500 0.1573 0.2903
4 In 0.7500 0.8427 0.7097
5 Ga 0.2500 0.6600 0.1385
6 Ga 0.7500 0.3400 0.8615
7 Au 0.7500 0.3743 0.5459
8 Au 0.2500 0.6257 0.4541
9 Au 0.7500 0.8712 0.0462
10 Au 0.7500 0.4177 0.1873
11 Au 0.2500 0.5823 0.8127
12 Au 0.2500 0.1288 0.9538

Total magnetic moment = 0.00 μB per formula unit
Electronic total energy = -3.192 eV per atom
SG = P2_1/m (11)
Volume = 18.78 A^3/atom

---

Entry 8:
This record from Alexandria describes Mg2CuP after structural relaxation. The functional is PBE.

Cell lengths 3.2755, 3.2755, 6.5367 Å; angles 90.00, 90.00, 89.96 degrees
Fractional positions:
1 Cu 0.5000 0.5000 0.6993
2 P 0.0000 0.0000 0.5504
3 Mg 0.0000 0.0000 0.9569
4 Mg 0.5000 0.5000 0.2934

Total magnetic moment = 0.00 μB per formula unit
Electronic total energy = -3.181 eV per atom
SG = P4mm (99)
Volume = 17.53 A^3/atom

---

Entry 9:
This record from Alexandria describes LiGa6Ag5 after structural relaxation. The functional is PBE.

Cell lengths 7.8446, 4.9671, 6.7989 Å; angles 68.57, 81.01, 64.66 degrees
Fractional positions:
1 Ga 0.8060 0.6330 0.0000
2 Ga 0.7042 0.1509 0.3677
3 Ga 0.7042 0.5187 0.6323
4 Ga 0.1940 0.3670 0.0000
5 Ga 0.2958 0.4813 0.3677
6 Ga 0.2958 0.8491 0.6323
7 Ag 0.0000 0.3135 0.3730
8 Ag 0.5000 0.1221 0.7557
9 Ag 0.5000 0.8779 0.2443
10 Ag 0.5000 0.5000 0.0000
11 Ag 0.0000 0.6865 0.6270
12 Li 0.0000 0.0000 0.0000

Total magnetic moment = 0.00 μB per formula unit
ΔE to the lowest computed polymorph = 0.62 eV/f.u.
SG = C2/m (12)
Volume = 18.57 A^3/atom

---

Entry 10:
This record from Alexandria describes DyThScOs after structural relaxation. The functional is PBE.

Cell lengths 5.0888, 5.0888, 5.0888 Å; angles 60.00, 60.00, 60.00 degrees
Fractional positions:
1 Dy 0.2500 0.2500 0.2500
2 Os 0.5000 0.5000 0.5000
3 Th 0.7500 0.7500 0.7500
4 Sc 0.0000 0.0000 0.0000

Total magnetic moment = 0.00 μB per formula unit
Electronic total energy = -7.401 eV per atom
SG = F-43m (216)
Volume = 23.29 A^3/atom

---

Entry 11:
This record from Alexandria describes AgO2F after structural relaxation. The functional is PBE.

Cell lengths 3.3008, 3.3008, 9.5688 Å; angles 80.07, 80.07, 90.00 degrees
Fractional positions:
1 Ag 0.0000 0.0000 0.0000
2 Ag 0.7500 0.2500 0.5000
3 F 0.2500 0.7500 0.5000
4 F 0.5000 0.5000 0.0000
5 O 0.3750 0.1250 0.7500
6 O 0.8750 0.1250 0.2500
7 O 0.8750 0.6250 0.2500
8 O 0.8750 0.1250 0.7500

Total magnetic moment = 0.00 μB per formula unit
ΔE to the lowest computed polymorph = 2.65 eV/f.u.
SG = I4_1/amd (141)
Volume = 12.64 A^3/atom
ΔE_f (raw) = 0.9 eV per formula unit

---

Entry 12:
This record from Alexandria describes Ho3Th3Sc after structural relaxation. The functional is PBE.

Cell lengths 5.7773, 9.3158, 9.3158 Å; angles 120.00, 90.00, 90.00 degrees
Fractional positions:
1 Th 0.2500 0.8136 0.7617
2 Th 0.7500 0.7617 0.9482
3 Th 0.2500 0.9482 0.1864
4 Th 0.2500 0.2383 0.0518
5 Th 0.7500 0.1864 0.2383
6 Th 0.7500 0.0518 0.8136
7 Ho 0.7500 0.9070 0.3809
8 Ho 0.2500 0.5262 0.9070
9 Ho 0.2500 0.0930 0.6191
10 Ho 0.2500 0.3809 0.4738
11 Ho 0.7500 0.4738 0.0930
12 Ho 0.7500 0.6191 0.5262
13 Sc 0.2500 0.6667 0.3333
14 Sc 0.7500 0.3333 0.6667

Total magnetic moment = 0.00 μB per formula unit
ΔE to the lowest computed polymorph = 0.00 eV/f.u.
SG = P6_3/m (176)
Volume = 31.01 A^3/atom